Sr4CoO2 | GGA+U | optimized geometry

## Properties
- crystal system = tetragonal
- energy (eV per cell) = -26.04

POSCAR file:
```
Sr4CoO2
1.0
-2.711 2.711 6.818
2.711 -2.711 6.818
2.711 2.711 -6.818
Sr Co O
4 1 2
Cartesian
2.711 0.000 0.000
0.000 0.000 3.213
0.000 2.711 0.000
0.000 0.000 10.422
0.000 0.000 0.000
0.000 0.000 5.394
0.000 0.000 8.241
```